[1]
Compound: LaAg2Hg
Source: the Alexandria database
Functional: PBEsol
Structure: optimized geometry

a b c (Å): 4.7968 4.7968 5.3729
angles (deg): 116.47 116.47 59.92
Element x y z (fractional)
La1 0.0000 0.0000 0.0000
Ag1 0.2220 0.2220 0.6662
Ag2 0.5214 0.5214 0.5643
Hg1 0.7743 0.7743 0.3219

Volume (Å³/atom): 22.93
Total magnetization (μB per atom): 0.000

---

[2]
Compound: Ag2BrCl
Source: the Alexandria database
Functional: PBEsol
Structure: optimized geometry

a b c (Å): 3.6056 3.9938 5.9386
angles (deg): 90.00 90.00 90.00
Element x y z (fractional)
Ag1 0.0000 0.0000 0.0000
Ag2 0.0000 0.5000 0.5000
Br1 0.5000 0.0000 0.5000
Cl1 0.5000 0.5000 0.0000

Volume (Å³/atom): 21.38
Formation energy without anion corrections (eV per atom): -0.208
Total magnetization (μB per atom): 0.000

---

[3]
Compound: La2CN2O2
Source: the Alexandria database
Functional: PBEsol
Structure: optimized geometry

a b c (Å): 6.7493 4.0328 6.8149
angles (deg): 71.82 34.59 73.60
Element x y z (fractional)
La1 0.1495 0.8505 0.1495
La2 0.8505 0.1495 0.8505
C1 0.4532 0.4532 0.5468
N1 0.4979 0.7873 0.5021
N2 0.7873 0.4979 0.2127
O1 0.2542 0.2542 0.2458
O2 0.7542 0.7542 0.7458

Volume (Å³/atom): 14.28
Formation energy without anion corrections (eV per atom): -1.565
Total magnetization (μB per atom): 0.000

---

[4]
Compound: SrBiP3
Source: the Alexandria database
Functional: PBEsol
Structure: optimized geometry

a b c (Å): 5.2271 5.2271 5.2271
angles (deg): 90.00 90.00 90.00
Element x y z (fractional)
Sr1 0.0000 0.0000 0.0000
Bi1 0.5000 0.5000 0.5000
P1 0.0000 0.0000 0.5000
P2 0.0000 0.5000 0.0000
P3 0.5000 0.0000 0.0000

Volume (Å³/atom): 28.56
Total magnetization (μB per atom): 0.000

---

[5]
Compound: Tm6Mn23
Source: the Alexandria database
Functional: PBEsol
Structure: optimized geometry

a b c (Å): 8.2240 8.2240 8.2240
angles (deg): 60.00 60.00 60.00
Element x y z (fractional)
Tm1 0.2045 0.2045 0.7955
Tm2 0.2045 0.7955 0.2045
Tm3 0.2045 0.7955 0.7955
Tm4 0.7955 0.2045 0.2045
Tm5 0.7955 0.2045 0.7955
Tm6 0.7955 0.7955 0.2045
Mn1 0.0000 0.0000 0.5000
Mn2 0.0000 0.5000 0.0000
Mn3 0.0000 0.5000 0.5000
Mn4 0.1354 0.6215 0.6215
Mn5 0.1768 0.1768 0.1768
Mn6 0.1768 0.1768 0.4695
Mn7 0.1768 0.4695 0.1768
Mn8 0.3785 0.3785 0.3785
Mn9 0.3785 0.3785 0.8646
Mn10 0.3785 0.8646 0.3785
Mn11 0.4695 0.1768 0.1768
Mn12 0.5000 0.0000 0.0000
Mn13 0.5000 0.0000 0.5000
Mn14 0.5000 0.5000 0.0000
Mn15 0.5000 0.5000 0.5000
Mn16 0.5305 0.8232 0.8232
Mn17 0.6215 0.1354 0.6215
Mn18 0.6215 0.6215 0.1354
Mn19 0.6215 0.6215 0.6215
Mn20 0.8232 0.5305 0.8232
Mn21 0.8232 0.8232 0.5305
Mn22 0.8232 0.8232 0.8232
Mn23 0.8646 0.3785 0.3785

Volume (Å³/atom): 13.56
Total magnetization (μB per atom): 0.383

---

[6]
Compound: TiGeAs3
Source: the Alexandria database
Functional: PBEsol
Structure: optimized geometry

a b c (Å): 4.7926 4.7926 4.7926
angles (deg): 90.00 90.00 90.00
Element x y z (fractional)
Ti1 0.0000 0.0000 0.0000
Ge1 0.5000 0.5000 0.5000
As1 0.0000 0.5000 0.5000
As2 0.5000 0.0000 0.5000
As3 0.5000 0.5000 0.0000

Volume (Å³/atom): 22.02
Total magnetization (μB per atom): 0.262

---

[7]
Compound: Eu
Source: the Alexandria database
Functional: PBEsol
Structure: optimized geometry

a b c (Å): 3.8010 3.8010 6.1147
angles (deg): 90.00 90.00 120.00
Element x y z (fractional)
Eu1 0.3333 0.6667 0.2500
Eu2 0.6667 0.3333 0.7500

Volume (Å³/atom): 38.25
Total magnetization (μB per atom): 7.606

---

[8]
Compound: LiHfGe3
Source: the Alexandria database
Functional: PBEsol
Structure: optimized geometry

a b c (Å): 5.1025 5.1025 5.1025
angles (deg): 90.00 90.00 90.00
Element x y z (fractional)
Li1 0.0000 0.0000 0.0000
Hf1 0.5000 0.5000 0.5000
Ge1 0.0000 0.5000 0.5000
Ge2 0.5000 0.0000 0.5000
Ge3 0.5000 0.5000 0.0000

Volume (Å³/atom): 26.57
Total magnetization (μB per atom): 0.000

---

[9]
Compound: Sc2HgPt
Source: the Alexandria database
Functional: PBEsol
Structure: optimized geometry

a b c (Å): 3.2627 4.7401 4.8674
angles (deg): 90.00 90.00 90.00
Element x y z (fractional)
Sc1 0.0000 0.0000 0.0000
Sc2 0.0000 0.5000 0.4564
Hg1 0.5000 0.0000 0.5173
Pt1 0.5000 0.5000 0.9332

Volume (Å³/atom): 18.82
Total magnetization (μB per atom): 0.000

---

[10]
Compound: PWAuS2
Source: the Alexandria database
Functional: PBEsol
Structure: optimized geometry

a b c (Å): 4.6476 4.6476 4.6314
angles (deg): 90.00 90.00 90.00
Element x y z (fractional)
P1 0.0000 0.0000 0.0000
W1 0.5000 0.5000 0.0000
Au1 0.0000 0.0000 0.5000
S1 0.0000 0.5000 0.5000
S2 0.5000 0.0000 0.5000

Volume (Å³/atom): 20.01
Formation energy without anion corrections (eV per atom): 1.585
Total magnetization (μB per atom): 0.432

---

[11]
Compound: Li3Cr2Fe3O10
Source: the Alexandria database
Functional: PBEsol
Structure: optimized geometry

a b c (Å): 4.8463 4.9426 7.5234
angles (deg): 72.71 72.78 80.68
Element x y z (fractional)
Li1 0.0000 0.0000 0.0000
Li2 0.2824 0.5071 0.9070
Li3 0.7176 0.4929 0.0930
Cr1 0.3808 0.0044 0.1920
Cr2 0.6192 0.9956 0.8080
Fe1 0.1932 0.0098 0.5960
Fe2 0.5000 0.5000 0.5000
Fe3 0.8068 0.9902 0.4040
O1 0.0410 0.2122 0.1739
O2 0.1551 0.7740 0.4456
O3 0.2814 0.2312 0.7352
O4 0.3848 0.7780 0.0352
O5 0.4598 0.2156 0.3595
O6 0.5402 0.7844 0.6405
O7 0.6152 0.2220 0.9648
O8 0.7186 0.7688 0.2648
O9 0.8449 0.2260 0.5544
O10 0.9590 0.7878 0.8261

Volume (Å³/atom): 9.10
Formation energy without anion corrections (eV per atom): -1.645
Total magnetization (μB per atom): 0.646

---

[12]
Compound: NbSb2TeOs
Source: the Alexandria database
Functional: PBEsol
Structure: optimized geometry

a b c (Å): 4.9427 4.9427 5.4681
angles (deg): 90.00 90.00 90.00
Element x y z (fractional)
Nb1 0.0000 0.0000 0.0000
Sb1 0.0000 0.5000 0.5000
Sb2 0.5000 0.0000 0.5000
Te1 0.5000 0.5000 0.0000
Os1 0.5000 0.5000 0.5000

Volume (Å³/atom): 26.72
Formation energy without anion corrections (eV per atom): 1.156
Total magnetization (μB per atom): 0.586

---

What did we get for D(E_F)? Answer: 3.24 0.22 0.00 4.34 29.61 6.85 7.18 2.41 2.86 3.11 9.95 4.00 states/eV/cell, in the order shown.
What did we get for uncorrected energy? Answer: -0.126 -0.104 -0.309 -0.128 -0.320 -0.180 -0.388 -0.191 -0.221 -0.179 -0.276 -0.220 Ha/atom, in the order shown.
What did we get for calculated density? Answer: 10.051 6.429 5.813 4.529 9.614 5.208 6.597 5.042 10.711 7.899 4.585 8.133 Mg/m³, in the order shown.